1.
Below is an optimized crystal structure of TbSc2HgN, with properties calculated at the PBE level.

Summary:
SG ... P4/mmm, No. 123
Total DFT energy (no corrections) ... -6.1816 eV/atom
Formation energy (no corrections) ... -0.998 eV/atom
Magnetic moment ... 0.0000 μB per atom

a b c (Å): 4.790 4.493 4.493
angles (deg): 90.00 90.00 90.00
Element x y z (fractional)
N1 0.000 0.000 0.000
Tb1 0.500 0.000 0.000
Sc1 0.000 0.500 0.000
Sc2 0.000 0.000 0.500
Hg1 0.500 0.500 0.500


2.
Below is an optimized crystal structure of K11In6Bi9, with properties calculated at the PBE level.

Summary:
Calculated formation energy ... -345 meV/atom
SG ... P-1, No. 2
Total DFT energy (no corrections) ... -2.7850 eV/atom
Magnetic moment ... 0.0000 μB per atom

a b c (Å): 12.253 13.506 13.920
angles (deg): 76.59 63.71 76.25
Element x y z (fractional)
Bi1 0.149 0.716 0.005
Bi2 0.926 0.776 0.577
Bi3 0.074 0.224 0.423
Bi4 0.546 0.742 0.782
Bi5 0.851 0.546 0.278
Bi6 0.641 0.227 0.418
Bi7 0.454 0.258 0.218
Bi8 0.303 0.598 0.346
Bi9 0.697 0.402 0.654
Bi10 0.756 0.922 0.272
Bi11 0.283 0.928 0.233
Bi12 0.730 0.711 0.007
Bi13 0.359 0.773 0.582
Bi14 0.244 0.078 0.728
Bi15 0.851 0.284 0.995
Bi16 0.270 0.289 0.993
Bi17 0.149 0.454 0.722
Bi18 0.717 0.072 0.767
In1 0.128 0.242 0.885
In2 0.629 0.446 0.460
In3 0.293 0.850 0.802
In4 0.061 0.556 0.537
In5 0.728 0.845 0.801
In6 0.798 0.207 0.546
In7 0.939 0.444 0.463
In8 0.371 0.554 0.540
In9 0.707 0.150 0.198
In10 0.272 0.155 0.199
In11 0.872 0.758 0.115
In12 0.202 0.793 0.454
K1 0.052 0.718 0.783
K2 0.300 0.313 0.489
K3 0.048 0.988 0.632
K4 0.000 0.500 0.000
K5 0.959 0.250 0.716
K6 0.000 0.000 0.000
K7 0.595 0.978 0.595
K8 0.375 0.544 0.809
K9 0.547 0.742 0.296
K10 0.041 0.750 0.284
K11 0.592 0.278 0.933
K12 0.948 0.282 0.217
K13 0.453 0.258 0.704
K14 0.796 0.543 0.806
K15 0.952 0.012 0.368
K16 0.617 0.983 0.069
K17 0.383 0.017 0.931
K18 0.405 0.022 0.405
K19 0.204 0.457 0.194
K20 0.408 0.722 0.067
K21 0.700 0.687 0.511
K22 0.625 0.456 0.191


3.
Below is an optimized crystal structure of LaCd9Cu2, with properties calculated at the PBE level.

Summary:
Calculated formation energy ... -140 meV/atom
SG ... I4_1/amd, No. 141
Total DFT energy (no corrections) ... -1.9193 eV/atom
Magnetic moment ... 0.0000 μB per atom

a b c (Å): 7.453 9.096 9.096
angles (deg): 80.34 65.82 65.82
Element x y z (fractional)
Cd1 0.000 0.000 0.000
Cd2 0.006 0.922 0.680
Cd3 0.609 0.320 0.078
Cd4 0.744 0.820 0.578
Cd5 0.744 0.578 0.820
Cd6 0.436 0.422 0.820
Cd7 0.314 0.680 0.078
Cd8 0.072 0.922 0.320
Cd9 0.141 0.422 0.180
Cd10 0.678 0.180 0.578
Cd11 0.750 0.500 0.500
Cd12 0.436 0.820 0.422
Cd13 0.678 0.578 0.180
Cd14 0.072 0.320 0.922
Cd15 0.314 0.078 0.680
Cd16 0.609 0.078 0.320
Cd17 0.006 0.680 0.922
Cd18 0.141 0.180 0.422
La1 0.250 0.500 0.500
La2 0.500 0.000 0.000
Cu1 0.875 0.250 0.250
Cu2 0.875 0.250 0.750
Cu3 0.875 0.750 0.250
Cu4 0.375 0.750 0.750